1.
Below is crystalline MnBeTl2 at its relaxed geometry, with properties calculated at the PBE level.

Cell and atoms, written as POSCAR:
```
MnBeTl2
1.0
4.604 0.000 0.000
0.000 4.604 0.000
0.000 0.000 3.737
Mn Be Tl
1 1 2
Direct
0.000 0.000 0.000
0.500 0.500 0.000
0.000 0.500 0.500
0.500 0.000 0.500
```

symmetry: P4/mmm (123)
distance to the lowest polymorph of the same formula: 0.243 eV per atom
ΔH_f (0 K): 671 meV/atom

=====

2.
Below is crystalline K4Pr3HoSe8 at its relaxed geometry, with properties calculated at the PBE level.

Cell and atoms, written as POSCAR:
```
K4Pr3HoSe8
1.0
4.336 2.503 7.708
-4.336 2.503 7.708
0.000 -5.007 7.708
K Pr Ho Se
4 3 1 8
Direct
0.000 0.000 0.000
0.000 0.500 0.500
0.500 0.000 0.500
0.500 0.500 0.000
0.000 0.000 0.500
0.000 0.500 0.000
0.500 0.000 0.000
0.500 0.500 0.500
0.238 0.238 0.238
0.246 0.731 0.731
0.269 0.269 0.754
0.269 0.754 0.269
0.731 0.246 0.731
0.731 0.731 0.246
0.754 0.269 0.269
0.762 0.762 0.762
```

symmetry: R-3m (166)
E_form (uncorrected): -28.0 eV/f.u.

=====

3.
Below is crystalline RbHfCdF7 at its relaxed geometry, with properties calculated at the PBE level.

Cell and atoms, written as POSCAR:
```
RbHfCdF7
1.0
3.443 -5.634 0.000
3.443 5.634 0.000
0.000 0.000 8.608
Rb Hf Cd F
2 2 2 14
Direct
0.000 0.000 0.000
0.000 0.000 0.500
0.307 0.693 0.750
0.693 0.307 0.250
0.309 0.691 0.250
0.691 0.309 0.750
0.022 0.328 0.250
0.065 0.350 0.750
0.299 0.701 0.516
0.299 0.701 0.984
0.328 0.022 0.750
0.350 0.065 0.250
0.488 0.512 0.750
0.512 0.488 0.250
0.650 0.935 0.750
0.672 0.978 0.250
0.701 0.299 0.016
0.701 0.299 0.484
0.935 0.650 0.250
0.978 0.672 0.750
```

symmetry: Cmcm (63)
E_form (uncorrected): -32.1 eV/f.u.

=====

4.
Below is crystalline Sr2BiPtO6 at its relaxed geometry, with properties calculated at the PBE level.

Cell and atoms, written as POSCAR:
```
Sr2BiPtO6
1.0
5.826 -2.819 0.000
5.826 2.819 0.000
-1.796 0.000 4.755
Sr Bi Pt O
2 1 1 6
Direct
0.236 0.236 0.210
0.764 0.764 0.790
0.500 0.500 0.000
0.000 0.000 0.500
0.159 0.680 0.213
0.316 0.316 0.727
0.320 0.841 0.787
0.680 0.159 0.213
0.684 0.684 0.273
0.841 0.320 0.787
```

symmetry: C2/m (12)
E_form (uncorrected): -16.2 eV/f.u.

=====

5.
Below is crystalline EuGdSiHg at its relaxed geometry, with properties calculated at the PBE level.

Cell and atoms, written as POSCAR:
```
EuGdSiHg
1.0
0.000 3.715 3.715
3.715 0.000 3.715
3.715 3.715 0.000
Eu Gd Si Hg
1 1 1 1
Direct
0.000 0.000 0.000
0.500 0.500 0.500
0.750 0.750 0.750
0.250 0.250 0.250
```

symmetry: F-43m (216)
E_form (uncorrected): -1.8 eV/f.u.

=====

6.
Below is crystalline Ta2IrBr at its relaxed geometry, with properties calculated at the PBE level.

Cell and atoms, written as POSCAR:
```
Ta2IrBr
1.0
0.000 3.290 3.290
3.290 0.000 3.290
3.290 3.290 0.000
Ta Ir Br
2 1 1
Direct
0.000 0.000 0.000
0.250 0.250 0.250
0.500 0.500 0.500
0.750 0.750 0.750
```

symmetry: F-43m (216)
distance to the lowest polymorph of the same formula: 0.759 eV per atom
E_form (uncorrected): 3.2 eV/f.u.

=====

7.
Below is crystalline LaPr3S at its relaxed geometry, with properties calculated at the PBE level.

Cell and atoms, written as POSCAR:
```
LaPr3S
1.0
5.590 0.000 0.000
0.000 5.590 0.000
0.000 0.000 5.590
La Pr S
1 3 1
Direct
0.000 0.000 0.000
0.000 0.500 0.500
0.500 0.000 0.500
0.500 0.500 0.000
0.500 0.500 0.500
```

symmetry: Pm-3m (221)
E_form (uncorrected): -3.4 eV/f.u.

=====

8.
Below is crystalline Eu3Ga2P4 at its relaxed geometry, with properties calculated at the PBE level.

Cell and atoms, written as POSCAR:
```
Eu3Ga2P4
1.0
6.467 -5.046 0.000
6.467 5.046 0.000
-0.111 0.000 6.557
Eu Ga P
6 4 8
Direct
0.099 0.901 0.750
0.252 0.504 0.033
0.496 0.748 0.467
0.504 0.252 0.533
0.748 0.496 0.967
0.901 0.099 0.250
0.081 0.326 0.590
0.326 0.081 0.090
0.674 0.919 0.910
0.919 0.674 0.410
0.069 0.242 0.936
0.211 0.560 0.524
0.242 0.069 0.436
0.440 0.789 0.976
0.560 0.211 0.024
0.758 0.931 0.564
0.789 0.440 0.476
0.931 0.758 0.064
```

symmetry: C2/c (15)
ΔH_f (0 K): -884 meV/atom

=====

Number 1: total magnetization 3.91 μB per formula unit. Number 2: total magnetization 0.00 μB per formula unit. Number 3: total magnetization 0.00 μB per formula unit. Number 4: total magnetization 0.92 μB per formula unit. Number 5: total magnetization 0.05 μB per formula unit. Number 6: total magnetization 0.00 μB per formula unit. Number 7: total magnetization 0.00 μB per formula unit. Number 8: total magnetization 7.07 μB per formula unit.